Record 1
DFT (PBE-GGA) results for Rb2PuPt3O12 after structural relaxation.

```
data_Rb2PuPt3O12
_space_group_name_H-M_alt 'R -3 m'
_space_group_IT_number 166
_space_group_name_Hall '-R 3 2"'
_cell_length_a 7.2229
_cell_length_b 7.2229
_cell_length_c 18.6891
_cell_angle_alpha 90.00
_cell_angle_beta 90.00
_cell_angle_gamma 120.00
loop_
_atom_site_label
_atom_site_type_symbol
_atom_site_fract_x
_atom_site_fract_y
_atom_site_fract_z
Rb1 Rb 0.0000 0.0000 0.1210
Pu1 Pu 0.0000 0.0000 0.5000
Pt1 Pt 0.0000 0.5000 0.0000
O1 O 0.0635 0.5317 0.3588
O2 O 0.0704 0.5352 0.1048
```

* total moment: 0.0214 μB per atom

=====

Record 2
DFT (PBE-GGA) results for RbPu2PtO8 after structural relaxation.

```
data_RbPu2PtO8
_space_group_name_H-M_alt 'P -1'
_space_group_IT_number 2
_cell_length_a 5.6577
_cell_length_b 5.7502
_cell_length_c 7.1709
_cell_angle_alpha 82.17
_cell_angle_beta 82.08
_cell_angle_gamma 74.38
loop_
_space_group_symop_operation_xyz
'x,y,z'
'-x,-y,-z'
loop_
_atom_site_label
_atom_site_type_symbol
_atom_site_fract_x
_atom_site_fract_y
_atom_site_fract_z
Rb1 Rb 0.0000 0.0000 0.0000
Pu1 Pu 0.4960 0.4965 0.2639
Pt1 Pt 0.0000 0.0000 0.5000
O1 O 0.1864 0.7744 0.6929
O2 O 0.2268 0.8134 0.3071
O3 O 0.3550 0.3616 0.4897
O4 O 0.3604 0.3655 0.9629
```

* total moment: 0.2493 μB per atom

=====

Computed uncorrected formation energy (eV per atom) in order:
-1.126, -1.878